1.
Computed, not measured: a relaxed Er6TmZr2 crystal at the PBE level of DFT.

Lattice parameters (Å, degrees): 3.4690 3.4690 32.8350 90.00 90.00 120.00
Closest atoms and distances in Å follow each position.
Space group P-6m2 (No. 187)
Symmetry-distinct sites (fractional):
Er  0.0000  0.0000  0.0854 [2 per cell]  3 Tm 3.44, 9 Er 3.47-3.51
Er  0.6667  0.3333  0.1731 [2 per cell]  3 Zr 3.32, 9 Er 3.47-3.51
Er  0.6667  0.3333  0.3298 [2 per cell]  3 Zr 3.20, 6 Er 3.47
Tm  0.6667  0.3333  0.0000 [1 per cell]  6 Er 3.44, 6 Tm 3.47
Zr  0.0000  0.0000  0.2536 [2 per cell]  6 Er 3.20-3.32, 6 Zr 3.47

The final energy is -5.270 eV per atom. As for the density of states at the Fermi level: 14.82 states/eV/cell.

---

2.
Computed, not measured: a relaxed Er2TmZr crystal at the PBE level of DFT.

Lattice parameters (Å, degrees): 3.9898 3.9898 7.1080 90.00 90.00 90.00
Closest atoms and distances in Å follow each position.
Space group P4/mmm (No. 123)
Symmetry-distinct sites (fractional):
Er  0.0000  0.0000  0.2290 [2 per cell]  1 Er 3.26, 4 Zr 3.26, 4 Tm 3.42
Tm  0.5000  0.5000  0.5000 [1 per cell]  8 Er 3.42, 2 Zr 3.55
Zr  0.5000  0.5000  0.0000 [1 per cell]  8 Er 3.26, 2 Tm 3.55

The final energy is -5.372 eV per atom. As for the density of states at the Fermi level: 7.49 states/eV/cell. Its offset from the most stable computed form is 10.54 kJ/mol of atoms.

---

3.
Computed, not measured: a relaxed Er6Tm2Zr crystal at the PBE level of DFT.

Lattice parameters (Å, degrees): 3.5031 3.5031 25.4288 90.00 90.00 120.00
Closest atoms and distances in Å follow each position.
Space group P-6m2 (No. 187)
Symmetry-distinct sites (fractional):
Er  0.0000  0.0000  0.0667 [2 per cell]  7 Er 3.39-3.50, 3 Tm 3.43
Er  0.0000  0.0000  0.2855 [2 per cell]  3 Tm 3.45, 9 Er 3.50-3.52
Er  0.3333  0.6667  0.3986 [2 per cell]  3 Zr 3.28, 9 Er 3.50-3.52
Tm  0.3333  0.6667  0.1754 [2 per cell]  6 Er 3.43-3.45, 6 Tm 3.50
Zr  0.0000  0.0000  0.5000 [1 per cell]  6 Er 3.28, 6 Zr 3.50

The final energy is -4.923 eV per atom. As for the density of states at the Fermi level: 16.05 states/eV/cell. Its offset from the most stable computed form is 0.00 kJ/mol of atoms.

---

4.
Computed, not measured: a relaxed Er3TmZr crystal at the PBE level of DFT.

Lattice parameters (Å, degrees): 10.6310 6.8502 8.4200 90.00 108.44 90.00
Closest atoms and distances in Å follow each position.
Space group C2/m (No. 12)
Symmetry-distinct sites (fractional):
Er  0.0551  0.2444  0.2273 [8 per cell]  6 Er 3.35-3.65, 3 Zr 3.35-3.56, 3 Tm 3.41-3.51
Er  0.2421  0.5000  0.0143 [4 per cell]  1 Zr 3.16, 1 Tm 3.33, 4 Er 3.44-3.53
Tm  0.1549  0.5000  0.5978 [4 per cell]  3 Zr 3.07-3.43, 1 Tm 3.18, 3 Er 3.33-3.41
Zr  0.1411  0.0000  0.5910 [4 per cell]  1 Zr 2.91, 1 Tm 3.07, 1 Er 3.16

The final energy is -5.285 eV per atom. As for the density of states at the Fermi level: 31.77 states/eV/cell.

---

5.
Computed, not measured: a relaxed ErTm2Zr crystal at the PBE level of DFT.

Lattice parameters (Å, degrees): 7.6949 7.6949 7.6949 90.00 90.00 90.00
Closest atoms and distances in Å follow each position.
Space group Fm-3m (No. 225)
Symmetry-distinct sites (fractional):
Er  0.0000  0.0000  0.0000 [4 per cell]  8 Tm 3.33
Tm  0.2500  0.2500  0.2500 [8 per cell]  4 Zr 3.33, 4 Er 3.33
Zr  0.0000  0.0000  0.5000 [4 per cell]  8 Tm 3.33

The final energy is -5.316 eV per atom. As for the density of states at the Fermi level: 24.90 states/eV/cell. Its offset from the most stable computed form is 14.42 kJ/mol of atoms.

---

6.
Computed, not measured: a relaxed ErTm2Zr crystal at the PBE level of DFT.

Lattice parameters (Å, degrees): 22.1838 3.4312 5.9472 90.00 95.07 90.00
Closest atoms and distances in Å follow each position.
Space group Cm (No. 8)
Symmetry-distinct sites (fractional):
Er  0.0000  0.0000  0.0000 [2 per cell]  6 Er 3.43-3.44, 6 Tm 3.50-3.54
Er  0.0005  0.5000  0.5006 [2 per cell]  6 Er 3.43-3.44, 6 Tm 3.49-3.55
Tm  0.1307  0.5000  0.2100 [2 per cell]  3 Zr 3.26, 6 Tm 3.43, 3 Er 3.49-3.50
Tm  0.1318  0.0000  0.7106 [2 per cell]  3 Zr 3.27, 6 Tm 3.43, 3 Er 3.51-3.52
Tm  0.3673  0.0000  0.7886 [2 per cell]  3 Zr 3.29-3.30, 6 Tm 3.43-3.44, 3 Er 3.54-3.55
Tm  0.3683  0.5000  0.2895 [2 per cell]  3 Zr 3.28-3.30, 6 Tm 3.43-3.44, 3 Er 3.52-3.53
Zr  0.2486  0.0000  0.0867 [2 per cell]  6 Tm 3.26-3.30, 6 Zr 3.39-3.48
Zr  0.2487  0.5000  0.5777 [2 per cell]  6 Tm 3.26-3.29, 6 Zr 3.39-3.48

The final energy is -5.466 eV per atom. As for the density of states at the Fermi level: 22.83 states/eV/cell. Its offset from the most stable computed form is 0.00 kJ/mol of atoms.

---

7.
Computed, not measured: a relaxed Er5Tm4Zr2 crystal at the PBE level of DFT.

Lattice parameters (Å, degrees): 3.3989 8.8427 22.0899 90.00 90.00 90.00
Closest atoms and distances in Å follow each position.
Space group Immm (No. 71)
Symmetry-distinct sites (fractional):
Er  0.0000  0.0000  0.0000 [2 per cell]  4 Tm 3.20, 2 Er 3.40
Er  0.0000  0.2910  0.3430 [8 per cell]  3 Zr 3.13-3.47, 2 Tm 3.35, 2 Er 3.40
Tm  0.0000  0.1940  0.5000 [4 per cell]  4 Er 3.20-3.57, 7 Tm 3.24-3.43
Tm  0.0000  0.5000  0.0981 [4 per cell]  1 Zr 2.89
Zr  0.0000  0.5000  0.2288 [4 per cell]  1 Tm 2.89, 2 Er 3.13

The final energy is -4.975 eV per atom. As for the density of states at the Fermi level: 22.64 states/eV/cell.

---

8.
Computed, not measured: a relaxed Er7Tm4Zr crystal at the PBE level of DFT.

Lattice parameters (Å, degrees): 5.8081 6.7943 9.7942 69.75 88.01 89.97
Closest atoms and distances in Å follow each position.
Space group P-1 (No. 2)
Symmetry-distinct sites (fractional):
Er  0.0000  0.0000  0.0000 [1 per cell]  2 Zr 2.90
Er  0.2273  0.7139  0.5735 [2 per cell]  5 Er 3.24-3.45, 4 Tm 3.32-3.54
Er  0.2570  0.5369  0.9249 [2 per cell]  3 Er 3.19-3.24, 2 Tm 3.55
Er  0.2582  0.1874  0.6271 [2 per cell]  5 Er 3.43-3.69, 6 Tm 3.46-3.65, 1 Zr 3.75
Tm  0.2674  0.1307  0.2703 [2 per cell]  1 Tm 3.18, 1 Zr 3.32, 5 Er 3.32-3.55
Tm  0.2667  0.5987  0.2705 [2 per cell]  1 Tm 3.18, 5 Er 3.32-3.55, 1 Zr 3.32
Zr  0.5000  0.0000  0.0000 [1 per cell]  2 Er 2.90

The final energy is -4.696 eV per atom. As for the density of states at the Fermi level: 23.36 states/eV/cell.

---

Repeat the second record exactly.
Computed, not measured: a relaxed Er2TmZr crystal at the PBE level of DFT.

Lattice parameters (Å, degrees): 3.9898 3.9898 7.1080 90.00 90.00 90.00
Closest atoms and distances in Å follow each position.
Space group P4/mmm (No. 123)
Symmetry-distinct sites (fractional):
Er  0.0000  0.0000  0.2290 [2 per cell]  1 Er 3.26, 4 Zr 3.26, 4 Tm 3.42
Tm  0.5000  0.5000  0.5000 [1 per cell]  8 Er 3.42, 2 Zr 3.55
Zr  0.5000  0.5000  0.0000 [1 per cell]  8 Er 3.26, 2 Tm 3.55

The final energy is -5.372 eV per atom. As for the density of states at the Fermi level: 7.49 states/eV/cell. Its offset from the most stable computed form is 10.54 kJ/mol of atoms.

---

- What is the final energy in the seventh record?
  -4.975 eV per atom